Material: Ac12Co4Rh
Method: DFT, PBE
State: relaxed

Properties
Its formation energy from the elements is -0.103 eV/f.u. The calculation puts the density of states at the Fermi level at 14.3 states/eV per cell.

Lattice parameters (Å, degrees): 9.4255 9.4255 9.4255 109.56 109.32 109.53
Last column: nearest neighbours and their distance in Å.
Atoms (fractional coordinates):
Ac1 0.1823 0.7010 0.8833  2 Co 2.87, 1 Rh 2.95
Ac2 0.1160 0.7964 0.3197  2 Co 2.87
Ac3 0.4767 0.7964 0.6803  2 Co 2.87
Ac4 0.3089 0.1253 0.8164  2 Co 2.89
Ac5 0.6911 0.5075 0.8164  2 Co 2.89
Ac6 0.1823 0.2990 0.4812  2 Co 2.87, 1 Rh 2.95
Ac7 0.8178 0.7010 0.5188  2 Co 2.87, 1 Rh 2.95
Ac8 0.6911 0.8747 0.1836  2 Co 2.89
Ac9 0.3089 0.4925 0.1836  2 Co 2.89
Ac10 0.5233 0.2036 0.3197  2 Co 2.87
Ac11 0.8840 0.2036 0.6803  2 Co 2.87
Ac12 0.8177 0.2990 0.1167  2 Co 2.87, 1 Rh 2.95
Co1 0.5000 0.0000 0.0000  6 Ac 2.87-2.89
Co2 0.0000 0.5000 0.0000  6 Ac 2.87-2.89
Co3 0.0000 0.0000 0.5000  6 Ac 2.87-2.89
Co4 0.5000 0.5000 0.5000  6 Ac 2.87-2.89
Rh1 0.0000 0.5000 0.5000  4 Ac 2.95

Material: Zn2FeTc
Method: DFT, PBE
State: relaxed

Properties
Its formation energy from the elements is 0.394 eV/f.u. The calculation puts the density of states at the Fermi level at 3.1 states/eV per cell.

Lattice parameters (Å, degrees): 2.5911 2.5911 8.3223 90.00 90.00 102.57
Last column: nearest neighbours and their distance in Å.
Atoms (fractional coordinates):
Fe1 0.5000 0.5000 0.2500  8 Zn 2.56-2.83, 4 Fe 2.59
Tc1 0.5000 0.5000 0.7500  4 Tc 2.59, 4 Zn 2.71
Zn1 0.0000 0.0000 0.0114  4 Fe 2.56-2.83, 4 Zn 2.59, 2 Tc 2.71
Zn2 0.0000 0.0000 0.4886  4 Fe 2.56-2.83, 4 Zn 2.59, 2 Tc 2.71

Material: K2ZrPd
Method: DFT, PBE
State: relaxed

Properties
Its formation energy from the elements is 2.829 eV/f.u. The calculation puts the density of states at the Fermi level at 10.6 states/eV per cell.

Lattice parameters (Å, degrees): 11.9905 11.9905 8.8500 47.36 47.36 90.00
Last column: nearest neighbours and their distance in Å.
Atoms (fractional coordinates):
K1 0.7645 0.1250 0.2500  2 Pd 3.34
K2 0.9855 0.6250 0.2500  2 Pd 3.34
K3 0.3750 0.2355 0.7500  2 Pd 3.34
K4 0.8750 0.0145 0.7500  2 Pd 3.34
Zr1 0.5000 0.5000 0.0000  2 Pd 2.54
Zr2 0.2500 0.7500 0.5000  2 Pd 2.54
Pd1 0.0000 0.0000 0.0000  2 Zr 2.54
Pd2 0.7500 0.2500 0.5000  2 Zr 2.54

Material: HfMg6Ga
Method: DFT, PBE
State: relaxed

Properties
Its formation energy from the elements is 0.106 eV/f.u. The calculation puts the density of states at the Fermi level at 2.7 states/eV per cell.

Lattice parameters (Å, degrees): 6.3769 6.3769 4.9954 90.00 90.00 123.46
Last column: nearest neighbours and their distance in Å.
Atoms (fractional coordinates):
Hf1 0.3242 0.6758 0.5000  2 Ga 3.02, 10 Mg 3.04-3.21
Mg1 0.8264 0.6729 0.5000  8 Mg 3.02-3.14, 2 Ga 3.14-3.24, 2 Hf 3.16-3.21
Mg2 0.3271 0.1736 0.5000  8 Mg 3.02-3.14, 2 Ga 3.14-3.24, 2 Hf 3.16-3.21
Mg3 0.6652 0.8242 0.0000  8 Mg 2.96-3.27, 2 Hf 3.10, 2 Ga 3.10
Mg4 0.1758 0.3348 0.0000  8 Mg 2.96-3.27, 2 Hf 3.10, 2 Ga 3.10
Mg5 0.6804 0.3196 0.0000  2 Ga 3.02, 10 Mg 3.02-3.27
Mg6 0.1693 0.8307 0.0000  10 Mg 3.02-3.19, 2 Hf 3.04
Ga1 0.8316 0.1684 0.5000  10 Mg 3.02-3.24, 2 Hf 3.02

Material: Cs6PbSe4
Method: DFT, PBE
State: relaxed

Properties
The calculation puts the formation energy without anion corrections at -11.376 eV/f.u. The calculation puts the density of states at the Fermi level at 0.0 states/eV per cell.

Lattice parameters (Å, degrees): 8.8290 11.5885 11.5885 120.00 90.00 90.00
Last column: nearest neighbours and their distance in Å.
Atoms (fractional coordinates):
Cs1 0.4593 0.7056 0.8528  4 Se 3.60-3.76
Cs2 0.4593 0.1472 0.2944  4 Se 3.60-3.76
Cs3 0.4593 0.1472 0.8528  4 Se 3.60-3.76
Cs4 0.9593 0.2944 0.1472  4 Se 3.60-3.76
Cs5 0.9593 0.8528 0.7056  4 Se 3.60-3.76
Cs6 0.9593 0.8528 0.1472  4 Se 3.60-3.76
Cs7 0.6305 0.9384 0.4692  5 Se 3.69-4.06, 1 Pb 4.10
Cs8 0.6305 0.5308 0.0616  5 Se 3.69-4.06, 1 Pb 4.10
Cs9 0.6305 0.5308 0.4692  5 Se 3.69-4.06, 1 Pb 4.10
Cs10 0.1305 0.0616 0.5308  5 Se 3.69-4.06, 1 Pb 4.10
Cs11 0.1305 0.4692 0.9384  5 Se 3.69-4.06, 1 Pb 4.10
Cs12 0.1305 0.4692 0.5308  5 Se 3.69-4.06, 1 Pb 4.10
Pb1 0.7486 0.3333 0.6667  4 Se 2.98-3.01
Pb2 0.2486 0.6667 0.3333  4 Se 2.98-3.01
Se1 0.4114 0.3333 0.6667  1 Pb 2.98
Se2 0.9114 0.6667 0.3333  1 Pb 2.98
Se3 0.8543 0.6180 0.8090  1 Pb 3.01
Se4 0.8543 0.1910 0.3820  1 Pb 3.01
Se5 0.8543 0.1910 0.8090  1 Pb 3.01
Se6 0.3543 0.3820 0.1910  1 Pb 3.01
Se7 0.3543 0.8090 0.6180  1 Pb 3.01
Se8 0.3543 0.8090 0.1910  1 Pb 3.01

Material: TlPPd5
Method: DFT, PBE
State: relaxed

Properties
Its formation energy from the elements is -2.864 eV/f.u. The calculation puts the density of states at the Fermi level at 1.1 states/eV per cell.

Lattice parameters (Å, degrees): 3.9983 3.9983 7.1171 90.00 90.00 90.00
Last column: nearest neighbours and their distance in Å.
Atoms (fractional coordinates):
Tl1 0.5000 0.5000 0.0000  12 Pd 2.83-2.94
P1 0.0000 0.0000 0.5000  8 Pd 2.44
Pd1 0.0000 0.0000 0.0000  4 Tl 2.83, 8 Pd 2.94
Pd2 0.5000 0.0000 0.6964  2 P 2.44
Pd3 0.0000 0.5000 0.6964  2 P 2.44
Pd4 0.5000 0.0000 0.3036  2 P 2.44
Pd5 0.0000 0.5000 0.3036  2 P 2.44

Material: ZrCdFe2
Method: DFT, PBE
State: relaxed

Properties
Its formation energy from the elements is 0.581 eV/f.u. The calculation puts the density of states at the Fermi level at 4.2 states/eV per cell.

Lattice parameters (Å, degrees): 3.2673 3.3160 6.9481 61.50 90.00 90.00
Last column: nearest neighbours and their distance in Å.
Atoms (fractional coordinates):
Cd1 0.5000 0.7500 0.7500  8 Fe 2.83, 2 Zr 3.05
Fe1 0.0000 0.9850 0.0150  4 Zr 2.73, 4 Cd 2.83, 1 Fe 2.87
Fe2 0.0000 0.5150 0.4850  4 Zr 2.73, 4 Cd 2.83, 1 Fe 2.87
Zr1 0.5000 0.2500 0.2500  8 Fe 2.73, 2 Cd 3.05

Material: Sc2ZnCd
Method: DFT, PBE
State: relaxed

Properties
Its formation energy from the elements is 1.446 eV/f.u. The calculation puts the density of states at the Fermi level at 3.4 states/eV per cell.

Lattice parameters (Å, degrees): 6.7085 6.7085 6.7085 51.43 152.39 137.51
Last column: nearest neighbours and their distance in Å.
Atoms (fractional coordinates):
Sc1 0.0000 0.2245 0.2245  1 Zn 2.71, 4 Sc 2.98
Sc2 0.0000 0.7755 0.7755  1 Zn 2.71, 4 Sc 2.98
Zn1 0.0000 0.0000 0.0000  2 Sc 2.71, 4 Cd 2.91
Cd1 0.0000 0.5000 0.5000  4 Zn 2.91, 2 Cd 3.20

Material: Sc4Ni2RhAu
Method: DFT, PBE
State: relaxed

Properties
Its formation energy from the elements is -5.490 eV/f.u. The calculation puts the density of states at the Fermi level at 6.1 states/eV per cell.

Lattice parameters (Å, degrees): 4.5993 4.5993 8.0074 73.31 73.31 60.00
Last column: nearest neighbours and their distance in Å.
Atoms (fractional coordinates):
Sc1 0.3792 0.3792 0.8625  1 Rh 2.74, 4 Ni 2.81-2.99, 3 Au 2.85
Sc2 0.8722 0.8722 0.3835  4 Ni 2.70-2.82, 3 Rh 2.80, 1 Au 2.90
Sc3 0.1278 0.1278 0.6165  4 Ni 2.70-2.82, 3 Rh 2.80, 1 Au 2.90
Sc4 0.6208 0.6208 0.1375  1 Rh 2.74, 4 Ni 2.81-2.99, 3 Au 2.85
Ni1 0.7529 0.7529 0.7413  8 Sc 2.70-2.99
Ni2 0.2471 0.2471 0.2587  8 Sc 2.70-2.99
Rh1 0.5000 0.5000 0.5000  8 Sc 2.74-2.80
Au1 0.0000 0.0000 0.0000  8 Sc 2.85-2.90

Material: YPd4Pb
Method: DFT, PBE
State: relaxed

Properties
Its formation energy from the elements is -3.290 eV/f.u. The calculation puts the density of states at the Fermi level at 4.9 states/eV per cell.

Lattice parameters (Å, degrees): 5.4386 5.4386 5.4386 60.00 60.00 60.00
Last column: nearest neighbours and their distance in Å.
Atoms (fractional coordinates):
Pb1 0.0000 0.0000 0.0000  12 Pd 3.19, 4 Y 3.33
Y1 0.2500 0.2500 0.2500  12 Pd 3.19, 4 Pb 3.33
Pd1 0.6250 0.6250 0.1251  6 Pd 2.72
Pd2 0.6250 0.1251 0.6250  6 Pd 2.72
Pd3 0.6250 0.6250 0.6250  6 Pd 2.72
Pd4 0.1251 0.6250 0.6250  6 Pd 2.72